{"formula": "TaAlRu2", "functional": "SCAN", "state": "PBEsol geometry", "delta_e_f_ev_per_atom": -0.581, "sg": "Cm", "total_energy_ev_per_atom": -36.578, "lattice_angstrom": [[4.770, -1.561, 0.000], [4.770, 1.561, 0.000], [-1.564, 0.000, 3.886]], "species": ["Ta", "Al", "Ru", "Ru"], "frac_coords": [[0.000, 0.000, 0.000], [0.239, 0.239, 0.692], [0.500, 0.500, 0.506], [0.743, 0.743, 0.195]]}

{"formula": "Ca2RhAu", "functional": "SCAN", "state": "PBEsol geometry", "delta_e_f_ev_per_atom": -0.387, "sg": "Pmm2", "total_energy_ev_per_atom": -30.951, "lattice_angstrom": [[3.355, 0.000, 0.000], [0.000, 4.427, 0.000], [0.000, 0.000, 5.869]], "species": ["Ca", "Ca", "Rh", "Au"], "frac_coords": [[0.000, 0.000, 0.000], [0.500, 0.500, 0.376], [0.000, 0.000, 0.520], [0.500, 0.500, 0.849]]}

{"formula": "KTa2InRu", "functional": "SCAN", "state": "PBEsol geometry", "delta_e_f_ev_per_atom": 2.834, "sg": "P4/mmm", "total_energy_ev_per_atom": -39.108, "lattice_angstrom": [[4.633, 0.000, 0.000], [0.000, 4.633, 0.000], [0.000, 0.000, 4.471]], "species": ["K", "Ta", "Ta", "In", "Ru"], "frac_coords": [[0.000, 0.000, 0.000], [0.000, 0.500, 0.000], [0.500, 0.000, 0.000], [0.500, 0.500, 0.500], [0.000, 0.000, 0.500]]}

{"formula": "BeTcMo", "functional": "SCAN", "state": "PBEsol geometry", "delta_e_f_ev_per_atom": 0.212, "sg": "P3m1", "total_energy_ev_per_atom": -24.554, "lattice_angstrom": [[2.788, 0.000, 0.000], [-1.394, 2.414, 0.000], [0.000, 0.000, 5.801]], "species": ["Be", "Tc", "Mo"], "frac_coords": [[0.000, 0.000, 0.000], [0.667, 0.333, 0.309], [0.333, 0.667, 0.667]]}

Question: Which formula does entry 2 have?
Answer: Ca2RhAu